No. 1
# ReBiSb2Te

An optimized crystal structure of ReBiSb2Te (PBE-GGA, the Alexandria database).

Cell: 5.0690 5.0690 5.7492 Å, 90.00 90.00 90.00°
Space group P4/mmm (No. 123)
Inequivalent atoms, fractional coordinates:
Re1 0.0000 0.0000 0.0000 (multiplicity 1)
Bi1 0.5000 0.5000 0.5000 (multiplicity 1)
Sb1 0.0000 0.5000 0.0000 (multiplicity 2)
Te1 0.0000 0.0000 0.5000 (multiplicity 1)

Energy above the most stable polymorph in this dataset = 0.0 kJ per mole of atoms
ΔE_f (raw) = 3.1 eV/f.u.


No. 2
# CaPa2HgO8

An optimized crystal structure of CaPa2HgO8 (PBE-GGA, the Alexandria database).

Cell: 6.0351 6.0351 6.0654 Å, 90.00 90.00 120.00°
Space group P-3 (No. 147)
Inequivalent atoms, fractional coordinates:
Ca1 0.0000 0.0000 0.0000 (multiplicity 1)
Pa1 0.3333 0.6667 0.3993 (multiplicity 2)
Hg1 0.0000 0.0000 0.5000 (multiplicity 1)
O1 0.0560 0.3562 0.6653 (multiplicity 6)
O2 0.3333 0.6667 0.0845 (multiplicity 2)

ΔE_f (raw) = -25.5 eV/f.u.


No. 3
# NaLi3Si6

An optimized crystal structure of NaLi3Si6 (PBE-GGA, the Alexandria database).

Cell: 17.9677 3.8035 10.3083 Å, 90.00 90.00 90.00°
Space group Pnma (No. 62)
Inequivalent atoms, fractional coordinates:
Na1 0.0755 0.2500 0.2490 (multiplicity 4)
Li1 0.0277 0.2500 0.5916 (multiplicity 4)
Li2 0.0683 0.7500 0.0150 (multiplicity 4)
Li3 0.1879 0.2500 0.9369 (multiplicity 4)
Si1 0.0544 0.2500 0.8349 (multiplicity 4)
Si2 0.1172 0.7500 0.5039 (multiplicity 4)
Si3 0.1171 0.7500 0.7421 (multiplicity 4)
Si4 0.1958 0.2500 0.4766 (multiplicity 4)
Si5 0.2052 0.7500 0.1399 (multiplicity 4)
Si6 0.2488 0.2500 0.2580 (multiplicity 4)

ΔE_f (raw) = -1.3 eV/f.u.


No. 4
# Nd2ErCd

An optimized crystal structure of Nd2ErCd (PBE-GGA, the Alexandria database).

Cell: 7.8487 7.8487 7.8487 Å, 90.00 90.00 90.00°
Space group Fm-3m (No. 225)
Inequivalent atoms, fractional coordinates:
Nd1 0.2500 0.2500 0.2500 (multiplicity 8)
Er1 0.0000 0.0000 0.0000 (multiplicity 4)
Cd1 0.0000 0.0000 0.5000 (multiplicity 4)

Energy above the most stable polymorph in this dataset = 9.1 kJ per mole of atoms
Energy of formation = -51 meV per atom


No. 5
# Cs2MgPPd

An optimized crystal structure of Cs2MgPPd (PBE-GGA, the Alexandria database).

Cell: 7.0717 7.0717 4.4473 Å, 90.00 90.00 90.00°
Space group P4/mmm (No. 123)
Inequivalent atoms, fractional coordinates:
Cs1 0.0000 0.5000 0.0000 (multiplicity 2)
Mg1 0.0000 0.0000 0.5000 (multiplicity 1)
P1 0.5000 0.5000 0.0000 (multiplicity 1)
Pd1 0.5000 0.5000 0.5000 (multiplicity 1)

Energy of formation = -21 meV per atom


No. 6
# Pr3Sc5S12

An optimized crystal structure of Pr3Sc5S12 (PBE-GGA, the Alexandria database).

Cell: 15.7746 15.7746 15.7746 Å, 90.00 90.00 90.00°
Space group Ia-3d (No. 230)
Inequivalent atoms, fractional coordinates:
Pr1 0.0000 0.2500 0.1250 (multiplicity 24)
Sc1 0.0000 0.0000 0.0000 (multiplicity 16)
Sc2 0.0000 0.2500 0.3750 (multiplicity 24)
S1 0.0260 0.0616 0.6503 (multiplicity 96)

ΔE_f (raw) = -37.5 eV/f.u.


No. 7
# SmHoSbTe

An optimized crystal structure of SmHoSbTe (PBE-GGA, the Alexandria database).

Cell: 4.4049 4.4049 21.6713 Å, 90.00 90.00 120.00°
Space group R3m (No. 160, hexagonal axes)
Inequivalent atoms, fractional coordinates:
Sm1 0.0000 0.0000 0.0000 (multiplicity 3)
Ho1 0.0000 0.0000 0.5075 (multiplicity 3)
Sb1 0.0000 0.0000 0.2511 (multiplicity 3)
Te1 0.0000 0.0000 0.7564 (multiplicity 3)

ΔE_f (raw) = -5.1 eV/f.u.


No. 8
# BaAg2AuO2

An optimized crystal structure of BaAg2AuO2 (PBE-GGA, the Alexandria database).

Cell: 4.7820 5.6848 9.4248 Å, 90.00 104.65 90.00°
Space group P2_1/m (No. 11)
Inequivalent atoms, fractional coordinates:
Ba1 0.2061 0.2500 0.4122 (multiplicity 2)
Ag1 0.4117 0.2500 0.8204 (multiplicity 2)
Ag2 0.4300 0.7500 0.8617 (multiplicity 2)
Au1 0.0066 0.7500 0.0154 (multiplicity 2)
O1 0.3252 0.5169 0.6496 (multiplicity 4)

ΔE_f (raw) = -4.3 eV/f.u.


No. 9
# AlAgBN2

An optimized crystal structure of AlAgBN2 (PBE-GGA, the Alexandria database).

Cell: 3.5349 3.5349 6.1485 Å, 90.00 90.00 90.00°
Space group P4/mmm (No. 123)
Inequivalent atoms, fractional coordinates:
Al1 0.0000 0.0000 0.0000 (multiplicity 1)
Ag1 0.0000 0.0000 0.5000 (multiplicity 1)
B1 0.5000 0.5000 0.5000 (multiplicity 1)
N1 0.0000 0.5000 0.0000 (multiplicity 2)

ΔE_f (raw) = 7.2 eV/f.u.


No. 10
# PuHgAu3

An optimized crystal structure of PuHgAu3 (PBE-GGA, the Alexandria database).

Cell: 8.6648 13.0887 8.6196 Å, 90.00 90.00 90.00°
Space group Cmcm (No. 63)
Inequivalent atoms, fractional coordinates:
Pu1 0.0000 0.0786 0.2500 (multiplicity 4)
Pu2 0.0000 0.4125 0.2500 (multiplicity 4)
Hg1 0.2500 0.2500 0.0000 (multiplicity 8)
Au1 0.0000 0.1300 0.5906 (multiplicity 8)
Au2 0.1609 0.3728 0.7500 (multiplicity 8)
Au3 0.2328 0.5000 0.0000 (multiplicity 8)

Energy of formation = -91 meV per atom


No. 11
# HgTe2Pt

An optimized crystal structure of HgTe2Pt (PBE-GGA, the Alexandria database).

Cell: 8.4396 12.4565 16.4345 Å, 90.00 100.62 90.00°
Space group C2/c (No. 15)
Inequivalent atoms, fractional coordinates:
Hg1 0.1029 0.1821 0.3929 (multiplicity 8)
Hg2 0.2445 0.4952 0.1711 (multiplicity 8)
Te1 0.0000 0.1428 0.7500 (multiplicity 4)
Te2 0.0000 0.3635 0.2500 (multiplicity 4)
Te3 0.0786 0.3671 0.0129 (multiplicity 8)
Te4 0.1137 0.1058 0.5651 (multiplicity 8)
Te5 0.2238 0.3531 0.8165 (multiplicity 8)
Pt1 0.0742 0.2958 0.6420 (multiplicity 8)
Pt2 0.0968 0.4861 0.3939 (multiplicity 8)

ΔE_f (raw) = -0.3 eV/f.u.


No. 12
# AlZn2Fe2

An optimized crystal structure of AlZn2Fe2 (PBE-GGA, the Alexandria database).

Cell: 6.7912 6.7912 2.9454 Å, 90.00 90.00 90.00°
Space group P4/mbm (No. 127)
Inequivalent atoms, fractional coordinates:
Al1 0.0000 0.0000 0.0000 (multiplicity 2)
Zn1 0.1283 0.3717 0.0000 (multiplicity 4)
Fe1 0.1707 0.6707 0.5000 (multiplicity 4)

Energy above the most stable polymorph in this dataset = 6.4 kJ per mole of atoms
Energy of formation = 146 meV per atom